(1)
The following is a meta-GGA SCAN calculation of CaSb2AuI at its PBEsol-relaxed geometry, from the Alexandria database.

## Properties
Theoretical density in g/cm³: 5.54
Raw formation energy in meV/atom: 676
E in eV per atom: -37.3405
D(E_F) in states/eV/f.u.: 3.39

Cell and atoms, written as POSCAR:
```
CaSb2AuI
1.0
5.721 0.000 0.000
0.000 5.721 0.000
0.000 0.000 5.559
Ca Sb Au I
1 2 1 1
direct
0.000 0.000 0.000
0.000 0.500 0.000
0.500 0.000 0.000
0.500 0.500 0.500
0.000 0.000 0.500
```

(2)
The following is a meta-GGA SCAN calculation of LiCdOs3 at its PBEsol-relaxed geometry, from the Alexandria database.

## Properties
Calculated formation energy in meV per atom: 3112
Theoretical density in g/cm³: 10.22
E in eV per atom: -46.5772
D(E_F) in states/eV/f.u.: 5.99

Cell and atoms, written as POSCAR:
```
LiCdOs3
1.0
4.823 0.000 0.000
0.000 4.823 0.000
0.000 0.000 4.823
Li Cd Os
1 1 3
direct
0.000 0.000 0.000
0.500 0.500 0.500
0.000 0.500 0.500
0.500 0.000 0.500
0.500 0.500 0.000
```

(3)
The following is a meta-GGA SCAN calculation of Li3MnVP4O14 at its PBEsol-relaxed geometry, from the Alexandria database.

## Properties
Theoretical density in g/cm³: 2.92
Raw formation energy in meV/atom: -2546
E in eV per atom: -10.0132

Cell and atoms, written as POSCAR:
```
Li3MnVP4O14
1.0
4.970 0.000 0.000
2.308 6.629 0.000
0.007 0.137 8.186
Li Mn V P O
3 1 1 4 14
direct
0.000 0.000 0.000
0.109 0.566 0.687
0.456 0.248 0.194
0.478 0.174 0.820
0.068 0.628 0.340
0.061 0.985 0.616
0.487 0.816 0.133
0.678 0.384 0.514
0.885 0.428 0.020
0.052 0.424 0.179
0.077 0.405 0.873
0.121 0.785 0.528
0.202 0.783 0.170
0.323 0.044 0.641
0.409 0.019 0.040
0.475 0.434 0.367
0.523 0.412 0.677
0.651 0.650 0.002
0.676 0.807 0.279
0.730 0.273 0.030
0.845 0.146 0.492
0.902 0.978 0.777
0.904 0.490 0.508
```

(4)
The following is a meta-GGA SCAN calculation of KZn2Mo at its PBEsol-relaxed geometry, from the Alexandria database.

## Properties
Energy above the most stable polymorph in this dataset in meV/atom: 477
Calculated formation energy in meV per atom: 929
Theoretical density in g/cm³: 5.70
E in eV per atom: -16.6321
D(E_F) in states/eV/f.u.: 1.88

Cell and atoms, written as POSCAR:
```
KZn2Mo
1.0
0.000 3.383 3.383
3.383 0.000 3.383
3.383 3.383 0.000
K Zn Mo
1 2 1
direct
0.000 0.000 0.000
0.250 0.250 0.250
0.750 0.750 0.750
0.500 0.500 0.500
```

(5)
The following is a meta-GGA SCAN calculation of PdPbO2 at its PBEsol-relaxed geometry, from the Alexandria database.

## Properties
Theoretical density in g/cm³: 9.67
Raw formation energy in meV/atom: -920
E in eV per atom: -31.1747
D(E_F) in states/eV/f.u.: 0.04

Cell and atoms, written as POSCAR:
```
PdPbO2
1.0
-2.717 4.721 2.313
2.717 -4.721 2.313
2.717 4.721 -2.313
Pd Pb O
2 2 4
direct
0.000 0.000 0.000
0.500 0.000 0.500
0.282 0.532 0.750
0.718 0.468 0.250
0.150 0.000 0.650
0.150 0.500 0.150
0.850 0.000 0.350
0.850 0.500 0.850
```

(6)
The following is a meta-GGA SCAN calculation of Y4MgRe at its PBEsol-relaxed geometry, from the Alexandria database.

## Properties
Calculated formation energy in meV per atom: 883
Theoretical density in g/cm³: 6.28
E in eV per atom: -30.3580
D(E_F) in states/eV/f.u.: 5.84

Cell and atoms, written as POSCAR:
```
Y4MgRe
1.0
0.000 4.214 4.214
4.214 0.000 4.214
4.214 4.214 0.000
Y Mg Re
4 1 1
direct
0.123 0.123 0.123
0.123 0.123 0.631
0.123 0.631 0.123
0.631 0.123 0.123
0.500 0.500 0.500
0.750 0.750 0.750
```

(7)
The following is a meta-GGA SCAN calculation of Si2PCl at its PBEsol-relaxed geometry, from the Alexandria database.

## Properties
Theoretical density in g/cm³: 2.93
Raw formation energy in meV/atom: 316
E in eV per atom: -9.2858
D(E_F) in states/eV/f.u.: 1.32

Cell and atoms, written as POSCAR:
```
Si2PCl
1.0
2.574 -3.936 0.000
2.574 3.936 0.000
0.000 0.000 3.428
Si P Cl
2 1 1
direct
0.211 0.789 0.000
0.789 0.211 0.000
0.000 0.000 0.500
0.500 0.500 0.500
```

(8)
The following is a meta-GGA SCAN calculation of HgRu2W at its PBEsol-relaxed geometry, from the Alexandria database.

## Properties
Energy above the most stable polymorph in this dataset in meV/atom: 0
Calculated formation energy in meV per atom: 511
Theoretical density in g/cm³: 16.01
E in eV per atom: -51.3658
D(E_F) in states/eV/f.u.: 3.69

Cell and atoms, written as POSCAR:
```
HgRu2W
1.0
4.120 0.000 0.000
0.000 4.120 0.000
0.000 0.000 3.584
Hg Ru W
1 2 1
direct
0.000 0.000 0.000
0.000 0.500 0.500
0.500 0.000 0.500
0.500 0.500 0.000
```

(9)
The following is a meta-GGA SCAN calculation of As3Ru at its PBEsol-relaxed geometry, from the Alexandria database.

## Properties
Energy above the most stable polymorph in this dataset in meV/atom: 164
Calculated formation energy in meV per atom: 316
Theoretical density in g/cm³: 8.04
E in eV per atom: -23.5338
D(E_F) in states/eV/f.u.: 2.08

Cell and atoms, written as POSCAR:
```
As3Ru
1.0
1.476 -2.467 0.000
1.476 2.467 0.000
0.000 0.000 9.237
As Ru
3 1
direct
0.000 0.000 0.000
0.500 0.500 0.282
0.500 0.500 0.718
0.000 0.000 0.500
```

(10)
The following is a meta-GGA SCAN calculation of MgZrSc at its PBEsol-relaxed geometry, from the Alexandria database.

## Properties
Energy above the most stable polymorph in this dataset in meV/atom: 758
Calculated formation energy in meV per atom: 715
Theoretical density in g/cm³: 3.46
E in eV per atom: -15.9214
D(E_F) in states/eV/f.u.: 3.04

Cell and atoms, written as POSCAR:
```
MgZrSc
1.0
0.000 3.377 3.377
3.377 0.000 3.377
3.377 3.377 0.000
Mg Zr Sc
1 1 1
direct
0.000 0.000 0.000
0.750 0.750 0.750
0.250 0.250 0.250
```

(11)
The following is a meta-GGA SCAN calculation of CsCSe2Br at its PBEsol-relaxed geometry, from the Alexandria database.

## Properties
Theoretical density in g/cm³: 5.01
Raw formation energy in meV/atom: 461
E in eV per atom: -21.0443
D(E_F) in states/eV/f.u.: 3.18

Cell and atoms, written as POSCAR:
```
CsCSe2Br
1.0
4.457 0.000 0.000
0.000 4.457 0.000
0.000 0.000 6.388
Cs C Se Br
1 1 2 1
direct
0.000 0.000 0.000
0.500 0.500 0.500
0.000 0.500 0.500
0.500 0.000 0.500
0.500 0.500 0.000
```

(12)
The following is a meta-GGA SCAN calculation of GePd3Au at its PBEsol-relaxed geometry, from the Alexandria database.

## Properties
Calculated formation energy in meV per atom: 254
Theoretical density in g/cm³: 10.57
E in eV per atom: -37.0592
D(E_F) in states/eV/f.u.: 3.65

Cell and atoms, written as POSCAR:
```
GePd3Au
1.0
4.523 0.000 0.000
0.000 4.523 0.000
0.000 0.000 4.523
Ge Pd Au
1 3 1
direct
0.000 0.000 0.000
0.000 0.000 0.500
0.000 0.500 0.000
0.500 0.000 0.000
0.500 0.500 0.500
```

(13)
The following is a meta-GGA SCAN calculation of LaSb2W at its PBEsol-relaxed geometry, from the Alexandria database.

## Properties
Theoretical density in g/cm³: 9.87
Raw formation energy in meV/atom: 93
E in eV per atom: -46.7352
D(E_F) in states/eV/f.u.: 2.34

Cell and atoms, written as POSCAR:
```
LaSb2W
1.0
3.617 0.000 0.000
0.000 3.617 0.000
0.000 0.000 7.285
La Sb W
1 2 1
direct
0.000 0.000 0.000
0.000 0.000 0.553
0.500 0.500 0.294
0.500 0.500 0.694
```

(14)
The following is a meta-GGA SCAN calculation of LaZnGe3 at its PBEsol-relaxed geometry, from the Alexandria database.

## Properties
Calculated formation energy in meV per atom: -63
Theoretical density in g/cm³: 6.34
E in eV per atom: -22.8397
D(E_F) in states/eV/f.u.: 2.71

Cell and atoms, written as POSCAR:
```
LaZnGe3
1.0
4.801 0.000 0.000
0.000 4.801 0.000
0.000 0.000 4.801
La Zn Ge
1 1 3
direct
0.000 0.000 0.000
0.500 0.500 0.500
0.000 0.500 0.500
0.500 0.000 0.500
0.500 0.500 0.000
```

(15)
The following is a meta-GGA SCAN calculation of Y12Ni6P at its PBEsol-relaxed geometry, from the Alexandria database.

## Properties
Calculated formation energy in meV per atom: -407
Theoretical density in g/cm³: 5.62
E in eV per atom: -23.6464
D(E_F) in states/eV/f.u.: 18.40

Cell and atoms, written as POSCAR:
```
Y12Ni6P
1.0
-4.750 4.750 4.750
4.750 -4.750 4.750
4.750 4.750 -4.750
Y Ni P
12 6 1
direct
0.114 0.813 0.302
0.187 0.302 0.489
0.187 0.698 0.886
0.302 0.114 0.813
0.302 0.489 0.187
0.489 0.187 0.302
0.511 0.813 0.698
0.698 0.511 0.813
0.698 0.886 0.187
0.813 0.302 0.114
0.813 0.698 0.511
0.886 0.187 0.698
0.125 0.625 0.500
0.375 0.500 0.875
0.500 0.125 0.625
0.500 0.875 0.375
0.625 0.500 0.125
0.875 0.375 0.500
0.000 0.000 0.000
```

(16)
The following is a meta-GGA SCAN calculation of CaTaTe2 at its PBEsol-relaxed geometry, from the Alexandria database.

## Properties
Energy above the most stable polymorph in this dataset in meV/atom: 0
Theoretical density in g/cm³: 7.96
Raw formation energy in meV/atom: -498
E in eV per atom: -38.1850
D(E_F) in states/eV/f.u.: 2.57

Cell and atoms, written as POSCAR:
```
CaTaTe2
1.0
-1.841 1.907 7.078
1.841 -1.907 7.078
1.841 1.907 -7.078
Ca Ta Te
1 1 2
direct
0.000 0.000 0.000
0.751 0.251 0.500
0.329 0.829 0.500
0.605 0.605 0.000
```

(17)
The following is a meta-GGA SCAN calculation of La3InRh at its PBEsol-relaxed geometry, from the Alexandria database.

## Properties
Calculated formation energy in meV per atom: -581
Theoretical density in g/cm³: 6.57
E in eV per atom: -39.8756
D(E_F) in states/eV/f.u.: 4.74

Cell and atoms, written as POSCAR:
```
La3InRh
1.0
5.433 0.000 0.000
0.000 5.433 0.000
0.000 0.000 5.433
La In Rh
3 1 1
direct
0.000 0.000 0.500
0.000 0.500 0.000
0.500 0.000 0.000
0.500 0.500 0.500
0.000 0.000 0.000
```

(18)
The following is a meta-GGA SCAN calculation of Ba3Nd3Cu6O14 at its PBEsol-relaxed geometry, from the Alexandria database.

## Properties
Theoretical density in g/cm³: 7.07
Raw formation energy in meV/atom: -2116
E in eV per atom: -18.5706
D(E_F) in states/eV/f.u.: 4.93

Cell and atoms, written as POSCAR:
```
Ba3Nd3Cu6O14
1.0
0.000 3.884 11.492
3.814 0.000 11.492
3.814 3.884 0.000
Ba Nd Cu O
3 3 6 14
direct
0.000 0.000 0.000
0.182 0.182 0.818
0.503 0.503 0.497
0.341 0.341 0.659
0.685 0.685 0.315
0.841 0.841 0.159
0.095 0.095 0.405
0.267 0.267 0.233
0.416 0.416 0.084
0.595 0.595 0.905
0.767 0.767 0.733
0.916 0.916 0.584
0.005 0.534 0.466
0.014 0.014 0.486
0.025 0.522 0.975
0.154 0.658 0.846
0.157 0.651 0.349
0.175 0.175 0.325
0.392 0.812 0.608
0.514 0.514 0.986
0.522 0.025 0.478
0.534 0.005 0.995
0.651 0.157 0.843
0.658 0.154 0.342
0.675 0.675 0.825
0.812 0.392 0.188
```

(19)
The following is a meta-GGA SCAN calculation of CdFe2MoIr at its PBEsol-relaxed geometry, from the Alexandria database.

## Properties
Calculated formation energy in meV per atom: 2344
Theoretical density in g/cm³: 8.85
E in eV per atom: -32.1878
D(E_F) in states/eV/f.u.: 7.09

Cell and atoms, written as POSCAR:
```
CdFe2MoIr
1.0
4.459 0.000 0.000
0.000 4.459 0.000
0.000 0.000 4.834
Cd Fe Mo Ir
1 2 1 1
direct
0.000 0.000 0.000
0.000 0.500 0.000
0.500 0.000 0.000
0.000 0.000 0.500
0.500 0.500 0.500
```

(20)
The following is a meta-GGA SCAN calculation of K3Nb8O21 at its PBEsol-relaxed geometry, from the Alexandria database.

## Properties
Theoretical density in g/cm³: 4.45
Raw formation energy in meV/atom: -2707
E in eV per atom: -15.8590
D(E_F) in states/eV/f.u.: 4.24

Cell and atoms, written as POSCAR:
```
K3Nb8O21
1.0
9.241 0.000 0.000
-4.621 8.003 0.000
0.000 0.000 12.087
K Nb O
6 16 42
direct
0.000 0.406 0.250
0.000 0.594 0.750
0.406 0.000 0.250
0.406 0.406 0.750
0.594 0.000 0.750
0.594 0.594 0.250
0.000 0.248 0.594
0.000 0.248 0.906
0.000 0.752 0.094
0.000 0.752 0.406
0.248 0.000 0.594
0.248 0.000 0.906
0.248 0.248 0.094
0.248 0.248 0.406
0.333 0.667 0.000
0.333 0.667 0.500
0.667 0.333 0.000
0.667 0.333 0.500
0.752 0.000 0.094
0.752 0.000 0.406
0.752 0.752 0.594
0.752 0.752 0.906
0.000 0.201 0.074
0.000 0.201 0.426
0.000 0.202 0.750
0.000 0.798 0.250
0.000 0.799 0.574
0.000 0.799 0.926
0.168 0.481 0.596
0.168 0.481 0.904
0.168 0.687 0.096
0.168 0.687 0.404
0.201 0.000 0.074
0.201 0.000 0.426
0.201 0.201 0.574
0.201 0.201 0.926
0.202 0.000 0.750
0.202 0.202 0.250
0.313 0.481 0.096
0.313 0.481 0.404
0.313 0.832 0.596
0.313 0.832 0.904
0.481 0.168 0.596
0.481 0.168 0.904
0.481 0.313 0.096
0.481 0.313 0.404
0.519 0.687 0.596
0.519 0.687 0.904
0.519 0.832 0.096
0.519 0.832 0.404
0.687 0.168 0.096
0.687 0.168 0.404
0.687 0.519 0.596
0.687 0.519 0.904
0.798 0.000 0.250
0.798 0.798 0.750
0.799 0.000 0.574
0.799 0.000 0.926
0.799 0.799 0.074
0.799 0.799 0.426
0.832 0.313 0.596
0.832 0.313 0.904
0.832 0.519 0.096
0.832 0.519 0.404
```

(21)
The following is a meta-GGA SCAN calculation of CdTeSe at its PBEsol-relaxed geometry, from the Alexandria database.

## Properties
Energy above the most stable polymorph in this dataset in meV/atom: 0
Theoretical density in g/cm³: 7.05
Raw formation energy in meV/atom: -90
E in eV per atom: -29.3382
D(E_F) in states/eV/f.u.: 2.22

Cell and atoms, written as POSCAR:
```
CdTeSe
1.0
4.118 0.000 0.000
-2.059 3.566 0.000
0.000 0.000 5.118
Cd Te Se
1 1 1
direct
0.000 0.000 0.000
0.333 0.667 0.331
0.667 0.333 0.725
```

(22)
The following is a meta-GGA SCAN calculation of NaVS2 at its PBEsol-relaxed geometry, from the Alexandria database.

## Properties
Theoretical density in g/cm³: 3.28
Raw formation energy in meV/atom: -1299
E in eV per atom: -11.5388
D(E_F) in states/eV/f.u.: 0.81

Cell and atoms, written as POSCAR:
```
NaVS2
1.0
1.763 1.018 6.486
-1.763 1.018 6.486
0.000 -2.036 6.486
Na V S
1 1 2
direct
0.000 0.000 0.000
0.500 0.500 0.500
0.235 0.235 0.235
0.765 0.765 0.765
```

(23)
The following is a meta-GGA SCAN calculation of CrAsOs at its PBEsol-relaxed geometry, from the Alexandria database.

## Properties
Energy above the most stable polymorph in this dataset in meV/atom: 0
Calculated formation energy in meV per atom: -40
Theoretical density in g/cm³: 11.19
E in eV per atom: -36.8580
D(E_F) in states/eV/f.u.: 1.35

Cell and atoms, written as POSCAR:
```
CrAsOs
1.0
0.000 2.865 2.865
2.865 0.000 2.865
2.865 2.865 0.000
Cr As Os
1 1 1
direct
0.000 0.000 0.000
0.500 0.500 0.500
0.750 0.750 0.750
```